Here is a geometry-optimized V2Ir5Os structure from Alexandria via LeMat-Bulk. Energies are from PBE.

Values from the calculation:
The calculated volume comes out at 226.11 Å³ per cell. The size of the total moment is 0.000 μB per atom. The total energy is -9.644 eV per atom.

abc: 5.4348 10.8756 3.8255
angles: 90.00 90.00 90.00
Closest atoms and distances in Å follow each position.
Space group Pbam (No. 55)
Asymmetric unit:
V (0.2454, 0.1227, 0.0000) [4 per cell]  10 Ir 2.68-2.76, 2 Os 2.69
Ir (0.0000, 0.5000, 0.5000) [2 per cell]  6 Ir 2.71-2.73, 4 V 2.71, 2 Os 2.72
Ir (0.0009, 0.2487, 0.5000) [4 per cell]  4 V 2.70-2.75, 1 Os 2.71, 7 Ir 2.71-2.73
Ir (0.2472, 0.8766, 0.0000) [4 per cell]  4 V 2.68-2.76, 2 Os 2.70, 6 Ir 2.71-2.73
Os (0.0000, 0.0000, 0.5000) [2 per cell]  4 V 2.69, 8 Ir 2.70-2.72